Density functional theory data (PBE with a Hubbard U) for a relaxed AlMoI2O crystal.

- polymorph energy (0 for the lowest one) (meV/atom) = 179
- energy (eV for the cell shown) = -20.381
- magnetic moment (μB/f.u.) = 2.99

```
data_AlMoI2O
_space_group_name_H-M_alt 'P 4/m m m'
_space_group_IT_number 123
_space_group_name_Hall '-P 4 2'
_cell_length_a 6.0131
_cell_length_b 6.0131
_cell_length_c 3.9365
_cell_angle_alpha 90.00
_cell_angle_beta 90.00
_cell_angle_gamma 90.00
loop_
_atom_site_label
_atom_site_fract_x
_atom_site_fract_y
_atom_site_fract_z
_atom_site_occupancy
Al1 0.0000 0.0000 0.0000 1
Mo1 0.5000 0.5000 0.5000 1
I1 0.0000 0.5000 0.5000 1
O1 0.5000 0.5000 0.0000 1
```

---

Density functional theory data (PBE with a Hubbard U) for a relaxed AlMoI2O crystal.

- polymorph energy (0 for the lowest one) (meV/atom) = 0
- energy (eV for the cell shown) = -21.278
- magnetic moment (μB/f.u.) = 4.97

```
data_AlMoI2O
_space_group_name_H-M_alt 'P 4/m m m'
_space_group_IT_number 123
_space_group_name_Hall '-P 4 2'
_cell_length_a 5.8551
_cell_length_b 5.8551
_cell_length_c 3.5352
_cell_angle_alpha 90.00
_cell_angle_beta 90.00
_cell_angle_gamma 90.00
loop_
_atom_site_label
_atom_site_fract_x
_atom_site_fract_y
_atom_site_fract_z
_atom_site_occupancy
Al1 0.0000 0.0000 0.0000 1
Mo1 0.5000 0.5000 0.5000 1
I1 0.0000 0.5000 0.0000 1
O1 0.0000 0.0000 0.5000 1
```